A plane-wave DFT calculation with PBE was carried out for a geometry-optimized SmAgO2 structure.

```
data_SmAgO2
_space_group_name_H-M_alt 'R 3 m'
_space_group_IT_number 160
_space_group_name_Hall 'R 3 -2"'
_cell_length_a 3.5548
_cell_length_b 3.5548
_cell_length_c 17.4916
_cell_angle_alpha 90.00
_cell_angle_beta 90.00
_cell_angle_gamma 120.00
loop_
_atom_site_label
_atom_site_fract_x
_atom_site_fract_y
_atom_site_fract_z
_atom_site_occupancy
Sm1 0.0000 0.0000 0.0000 1
Ag1 0.0000 0.0000 0.8232 1
O1 0.0000 0.0000 0.4018 1
O2 0.0000 0.0000 0.6017 1
```

Results
Energy relative to the elements, uncorrected in eV per atom: -1.97
Magnetic moment in μB/atom: 0.000
Density in g cm⁻³: 7.55

---

A plane-wave DFT calculation with PBE was carried out for a geometry-optimized Sm2DyRh2 structure.

```
data_Sm2DyRh2
_space_group_name_H-M_alt 'C m c 21'
_space_group_IT_number 36
_cell_length_a 3.9462
_cell_length_b 13.0512
_cell_length_c 9.8767
_cell_angle_alpha 90.00
_cell_angle_beta 90.00
_cell_angle_gamma 90.00
loop_
_space_group_symop_operation_xyz
'x,y,z'
'-x,-y,z+1/2'
'-x,y,z'
'x,-y,z+1/2'
'x+1/2,y+1/2,z'
'-x+1/2,-y+1/2,z+1/2'
'-x+1/2,y+1/2,z'
'x+1/2,-y+1/2,z+1/2'
loop_
_atom_site_label
_atom_site_fract_x
_atom_site_fract_y
_atom_site_fract_z
_atom_site_occupancy
Sm1 0.0000 0.0984 0.0000 1
Sm2 0.0000 0.3606 0.1801 1
Dy1 0.0000 0.3515 0.8122 1
Rh1 0.0000 0.0061 0.2541 1
Rh2 0.0000 0.2424 0.4943 1
```

Results
Magnetic moment in μB/atom: 0.000
Excess energy over the best structure of this formula in the dataset in eV/atom: 0.000
Density in g cm⁻³: 8.74
Formation energy from the elements in kJ/mol of atoms: -62.8

---

A plane-wave DFT calculation with PBE was carried out for a geometry-optimized Tc2P structure.

```
data_Tc2P
_space_group_name_H-M_alt 'I 4/m m m'
_space_group_IT_number 139
_space_group_name_Hall '-I 4 2'
_cell_length_a 2.9033
_cell_length_b 2.9033
_cell_length_c 9.4764
_cell_angle_alpha 90.00
_cell_angle_beta 90.00
_cell_angle_gamma 90.00
loop_
_atom_site_label
_atom_site_fract_x
_atom_site_fract_y
_atom_site_fract_z
_atom_site_occupancy
Tc1 0.0000 0.0000 0.1514 1
P1 0.0000 0.0000 0.5000 1
```

Results
Magnetic moment in μB/atom: 0.000
Excess energy over the best structure of this formula in the dataset in eV/atom: 0.094
Density in g cm⁻³: 9.44
Formation energy from the elements in kJ/mol of atoms: -33.1

---

A plane-wave DFT calculation with PBE was carried out for a geometry-optimized La2Tb3ErTe6 structure.

```
data_La2Tb3ErTe6
_space_group_name_H-M_alt 'C 1 2/m 1'
_space_group_IT_number 12
_cell_length_a 19.3109
_cell_length_b 4.4058
_cell_length_c 8.9293
_cell_angle_alpha 90.00
_cell_angle_beta 103.08
_cell_angle_gamma 90.00
loop_
_space_group_symop_operation_xyz
'x,y,z'
'-x,-y,-z'
'-x,y,-z'
'x,-y,z'
'x+1/2,y+1/2,z'
'-x+1/2,-y+1/2,-z'
'-x+1/2,y+1/2,-z'
'x+1/2,-y+1/2,z'
loop_
_atom_site_label
_atom_site_fract_x
_atom_site_fract_y
_atom_site_fract_z
_atom_site_occupancy
La1 0.1677 0.0000 0.3349 1
Tb1 0.0000 0.5000 0.5000 1
Tb2 0.1725 0.0000 0.8350 1
Er1 0.0000 0.5000 0.0000 1
Te1 0.0054 0.0000 0.7564 1
Te2 0.1624 0.5000 0.5918 1
Te3 0.1625 0.5000 0.0708 1
```

Results
Energy relative to the elements, uncorrected in eV per atom: -1.39
Magnetic moment in μB/atom: 0.000
Density in g cm⁻³: 7.57

---

A plane-wave DFT calculation with PBE was carried out for a geometry-optimized La6Sm10Th structure.

```
data_La6Sm10Th
_space_group_name_H-M_alt 'P -3 1 m'
_space_group_IT_number 162
_space_group_name_Hall '-P 3 2'
_cell_length_a 9.8630
_cell_length_b 9.8630
_cell_length_c 7.1389
_cell_angle_alpha 90.00
_cell_angle_beta 90.00
_cell_angle_gamma 120.00
loop_
_atom_site_label
_atom_site_fract_x
_atom_site_fract_y
_atom_site_fract_z
_atom_site_occupancy
La1 0.0000 0.3744 0.3015 1
Sm1 0.0000 0.2697 0.8186 1
Sm2 0.3333 0.6667 0.0000 1
Sm3 0.3333 0.6667 0.5000 1
Th1 0.0000 0.0000 0.5000 1
```

Results
Magnetic moment in μB/atom: 0.000
Density in g cm⁻³: 7.09
Formation energy from the elements in kJ/mol of atoms: 13.9

---

A plane-wave DFT calculation with PBE was carried out for a geometry-optimized LiSm2Si structure.

```
data_LiSm2Si
_space_group_name_H-M_alt 'R -3 m'
_space_group_IT_number 166
_space_group_name_Hall '-R 3 2"'
_cell_length_a 4.1968
_cell_length_b 4.1968
_cell_length_c 24.0879
_cell_angle_alpha 90.00
_cell_angle_beta 90.00
_cell_angle_gamma 120.00
loop_
_atom_site_label
_atom_site_fract_x
_atom_site_fract_y
_atom_site_fract_z
_atom_site_occupancy
Li1 0.0000 0.0000 0.0000 1
Sm1 0.0000 0.0000 0.2316 1
Si1 0.0000 0.0000 0.5000 1
```

Results
Energy relative to the elements, uncorrected in eV per atom: -0.14
Magnetic moment in μB/atom: 0.213
Density in g cm⁻³: 4.55

---

A plane-wave DFT calculation with PBE was carried out for a geometry-optimized BaCa3Ac structure.

```
data_BaCa3Ac
_space_group_name_H-M_alt 'P m -3 m'
_space_group_IT_number 221
_space_group_name_Hall '-P 4 2 3'
_cell_length_a 6.5242
_cell_length_b 6.5242
_cell_length_c 6.5242
_cell_angle_alpha 90.00
_cell_angle_beta 90.00
_cell_angle_gamma 90.00
loop_
_atom_site_label
_atom_site_fract_x
_atom_site_fract_y
_atom_site_fract_z
_atom_site_occupancy
Ba1 0.0000 0.0000 0.0000 1
Ca1 0.0000 0.5000 0.5000 1
Ac1 0.5000 0.5000 0.5000 1
```

Results
Magnetic moment in μB/atom: 0.240
Excess energy over the best structure of this formula in the dataset in eV/atom: 0.476
Density in g cm⁻³: 2.90
Formation energy from the elements in kJ/mol of atoms: 60.4

---

A plane-wave DFT calculation with PBE was carried out for a geometry-optimized LaHo2Ni6 structure.

```
data_LaHo2Ni6
_space_group_name_H-M_alt 'P 6/m m m'
_space_group_IT_number 191
_space_group_name_Hall '-P 6 2'
_cell_length_a 7.0012
_cell_length_b 7.0012
_cell_length_c 3.7570
_cell_angle_alpha 90.00
_cell_angle_beta 90.00
_cell_angle_gamma 120.00
loop_
_atom_site_label
_atom_site_fract_x
_atom_site_fract_y
_atom_site_fract_z
_atom_site_occupancy
La1 0.0000 0.0000 0.0000 1
Ho1 0.3333 0.6667 0.0000 1
Ni1 0.0000 0.3364 0.5000 1
```

Results
Magnetic moment in μB/atom: 0.060
Density in g cm⁻³: 8.55
Formation energy from the elements in kJ/mol of atoms: -35.3

---

A plane-wave DFT calculation with PBE was carried out for a geometry-optimized Th2MnAs4Ir3 structure.

```
data_Th2MnAs4Ir3
_space_group_name_H-M_alt 'P -4 m 2'
_space_group_IT_number 115
_cell_length_a 4.3199
_cell_length_b 4.3199
_cell_length_c 9.8464
_cell_angle_alpha 90.00
_cell_angle_beta 90.00
_cell_angle_gamma 90.00
loop_
_space_group_symop_operation_xyz
'x,y,z'
'y,-x,-z'
'-x,-y,z'
'-y,x,-z'
'-x,y,z'
'-y,-x,-z'
'x,-y,z'
'y,x,-z'
loop_
_atom_site_label
_atom_site_fract_x
_atom_site_fract_y
_atom_site_fract_z
_atom_site_occupancy
Th1 0.0000 0.5000 0.2457 1
Mn1 0.5000 0.5000 0.0000 1
As1 0.0000 0.0000 0.5000 1
As2 0.0000 0.5000 0.8726 1
As3 0.5000 0.5000 0.5000 1
Ir1 0.0000 0.0000 0.0000 1
Ir2 0.0000 0.5000 0.6216 1
```

Results
Magnetic moment in μB/atom: 0.001
Density in g cm⁻³: 12.61
Formation energy from the elements in kJ/mol of atoms: -70.7

---

A plane-wave DFT calculation with PBE was carried out for a geometry-optimized Pm8GeAs4S3 structure.

```
data_Pm8GeAs4S3
_space_group_name_H-M_alt 'R -3 m'
_space_group_IT_number 166
_space_group_name_Hall '-R 3 2"'
_cell_length_a 8.3523
_cell_length_b 8.3523
_cell_length_c 20.4104
_cell_angle_alpha 90.00
_cell_angle_beta 90.00
_cell_angle_gamma 120.00
loop_
_atom_site_label
_atom_site_fract_x
_atom_site_fract_y
_atom_site_fract_z
_atom_site_occupancy
Pm1 0.0000 0.0000 0.2503 1
Pm2 0.0002 0.5001 0.2494 1
Ge1 0.0000 0.0000 0.5000 1
As1 0.0000 0.0000 0.0000 1
As2 0.0000 0.5000 0.0000 1
S1 0.0000 0.5000 0.5000 1
```

Results
Energy relative to the elements, uncorrected in eV per atom: -1.67
Magnetic moment in μB/atom: 0.000
Density in g cm⁻³: 6.58

---

A plane-wave DFT calculation with PBE was carried out for a geometry-optimized SrLaSm2S4 structure.

```
data_SrLaSm2S4
_space_group_name_H-M_alt 'P 1 2/m 1'
_space_group_IT_number 10
_cell_length_a 7.1073
_cell_length_b 4.0762
_cell_length_c 7.1297
_cell_angle_alpha 90.00
_cell_angle_beta 109.11
_cell_angle_gamma 90.00
loop_
_space_group_symop_operation_xyz
'x,y,z'
'-x,-y,-z'
'-x,y,-z'
'x,-y,z'
loop_
_atom_site_label
_atom_site_fract_x
_atom_site_fract_y
_atom_site_fract_z
_atom_site_occupancy
Sr1 0.0000 0.0000 0.0000 1
La1 0.5000 0.5000 0.0000 1
Sm1 0.0000 0.5000 0.5000 1
Sm2 0.5000 0.0000 0.5000 1
S1 0.2464 0.0000 0.7396 1
S2 0.2549 0.5000 0.2617 1
```

Results
Energy relative to the elements, uncorrected in eV per atom: -2.07
Magnetic moment in μB/atom: 0.000
Density in g cm⁻³: 5.58

---

A plane-wave DFT calculation with PBE was carried out for a geometry-optimized Zr2Cd5Ag structure.

```
data_Zr2Cd5Ag
_space_group_name_H-M_alt 'I 4/m m m'
_space_group_IT_number 139
_space_group_name_Hall '-I 4 2'
_cell_length_a 4.4379
_cell_length_b 4.4379
_cell_length_c 17.1257
_cell_angle_alpha 90.00
_cell_angle_beta 90.00
_cell_angle_gamma 90.00
loop_
_atom_site_label
_atom_site_fract_x
_atom_site_fract_y
_atom_site_fract_z
_atom_site_occupancy
Zr1 0.0000 0.0000 0.2473 1
Cd1 0.0000 0.0000 0.5000 1
Cd2 0.0000 0.5000 0.1216 1
Ag1 0.0000 0.0000 0.0000 1
```

Results
Magnetic moment in μB/atom: 0.000
Density in g cm⁻³: 8.39
Formation energy from the elements in kJ/mol of atoms: -9.0

---

- Number 7 is which compound?
  BaCa3Ac

---

- Look up the magnetic moment of the eleventh one.
  0.000 μB/atom